Record 1
Density functional theory data (PBE) for an optimized crystal structure of CeSiPd3.

a b c (Å): 4.0688 4.0699 6.2408
angles (deg): 70.96 70.98 90.00
Site moments in Bohr magnetons follow the coordinates.
Atoms (fractional coordinates):
Ce 0.3922 0.1957 0.9209  0.60
Si 0.0244 0.8279 0.6566  0.00
Pd 0.6397 0.9431 0.4259  0.01
Pd 0.8118 0.6153 0.0816  -0.01
Pd 0.1396 0.4432 0.4260  0.01

The value obtained for the uncorrected formation energy is -0.8079 eV per atom. The value obtained for the volume is 18.3 A^3/atom. Its space-group type is I4mm, No. 107. The density of states at the Fermi level is 1.18 states/eV per atom. The calculation puts the offset from the most stable computed form at 0 meV per atom. The calculated total energy is -30.97 eV/cell. Its total magnetization is 0.144 μB/atom.

=====

Record 2
Density functional theory data (PBE) for an optimized crystal structure of K2PF.

a b c (Å): 5.3483 5.3483 5.3483
angles (deg): 60.00 60.00 60.00
Site moments in Bohr magnetons follow the coordinates.
Atoms (fractional coordinates):
K 0.7500 0.7500 0.7500  0.02
F 0.0000 0.0000 0.0000  0.07
P 0.5000 0.5000 0.5000  0.75
K 0.2500 0.2500 0.2500  0.02

The value obtained for the uncorrected formation energy is -0.7721 eV per atom. The value obtained for the volume is 27.0 A^3/atom. Its space-group type is Fm-3m, No. 225. The density of states at the Fermi level is 0.53 states/eV per atom. The calculation puts the offset from the most stable computed form at 220 meV per atom. The calculated total energy is -12.56 eV/cell. Its total magnetization is 0.500 μB/atom.